A relaxed structure of Ta2MoCl, computed with PBE.

Results
**Magnetic moment**: 0.00 Bohr magnetons per cell
**Formation energy without anion corrections**: 0.338 eV/atom
**E above lowest polymorph**: 258.5 meV per atom
**Density**: 11.82 g/cm³

Lattice parameters (Å, degrees): 2.921 4.604 5.262 90.00 101.59 90.00
Space group Pm (No. 6)
Inequivalent atoms, fractional coordinates:
Ta: 0.000 0.000 0.000 [1 per cell]
Ta: 0.280 0.500 0.751 [1 per cell]
Mo: 0.557 0.000 0.522 [1 per cell]
Cl: 0.448 0.500 0.244 [1 per cell]